Arrangement a

An optimized crystal structure of Dy2Y2CI3Cl2. Source: OQMD, functional PBE-GGA.

Crystal system: monoclinic
Symmetry: No. 12

abc: 9.337 9.337 8.447
angles: 99.78 99.78 24.07
Positions (direct):
Dy1 0.002 0.002 0.309
Dy2 0.998 0.998 0.691
Y1 0.366 0.366 0.436
Y2 0.634 0.634 0.564
C1 0.500 0.500 0.500
I1 0.175 0.175 0.308
I2 0.500 0.500 0.000
I3 0.825 0.825 0.692
Cl1 0.149 0.149 0.796
Cl2 0.851 0.851 0.204

Arrangement b

An optimized crystal structure of Dy2Y2CI3Cl2. Source: OQMD, functional PBE-GGA.

Crystal system: monoclinic
Symmetry: No. 12

abc: 9.199 9.199 8.551
angles: 102.36 102.36 24.42
Positions (direct):
Dy1 0.001 0.001 0.310
Dy2 0.999 0.999 0.690
Y1 0.364 0.364 0.440
Y2 0.636 0.636 0.560
C1 0.500 0.500 0.500
I1 0.172 0.172 0.838
I2 0.500 0.500 0.000
I3 0.828 0.828 0.162
Cl1 0.162 0.162 0.349
Cl2 0.838 0.838 0.651

Which structure is most stable? arrangement a, by 1.7 kJ/mol of atoms over the runner-up.

Arrangement a

An optimized crystal structure of Dy2Y2CI3Cl2. Source: OQMD, functional PBE-GGA.

Crystal system: monoclinic
Symmetry: No. 12

abc: 9.191 9.191 8.574
angles: 102.53 102.53 24.50
Positions (direct):
Dy1 0.136 0.136 0.059
Dy2 0.864 0.864 0.941
Y1 0.499 0.499 0.190
Y2 0.501 0.501 0.810
C1 0.000 0.000 0.000
I1 0.000 0.000 0.500
I2 0.326 0.326 0.663
I3 0.674 0.674 0.337
Cl1 0.337 0.337 0.149
Cl2 0.663 0.663 0.851

Arrangement b

An optimized crystal structure of Dy2Y2CI3Cl2. Source: OQMD, functional PBE-GGA.

Crystal system: monoclinic
Symmetry: No. 12

abc: 9.339 9.339 8.469
angles: 99.67 99.67 24.12
Positions (direct):
Dy1 0.133 0.133 0.063
Dy2 0.867 0.867 0.937
Y1 0.498 0.498 0.191
Y2 0.502 0.502 0.809
C1 0.000 0.000 0.000
I1 0.000 0.000 0.500
I2 0.325 0.325 0.190
I3 0.675 0.675 0.810
Cl1 0.351 0.351 0.707
Cl2 0.649 0.649 0.293

Which structure is most stable? arrangement b, by 1.6 kJ/mol of atoms over the runner-up.

Arrangement a

An optimized crystal structure of Hg2CN2Cl2. Source: OQMD, functional PBE-GGA.

Crystal system: monoclinic
Symmetry: No. 14

abc: 8.211 9.129 7.927
angles: 90.00 106.09 90.00
Positions (direct):
Hg1 0.000 0.000 0.000
Hg2 0.000 0.000 0.500
Hg3 0.000 0.500 0.000
Hg4 0.000 0.500 0.500
Hg5 0.391 0.181 0.268
Hg6 0.391 0.319 0.768
Hg7 0.609 0.681 0.232
Hg8 0.609 0.819 0.732
C1 0.365 0.589 0.576
C2 0.365 0.911 0.076
C3 0.635 0.089 0.924
C4 0.635 0.411 0.424
N1 0.267 0.009 0.100
N2 0.267 0.491 0.600
N3 0.465 0.675 0.545
N4 0.465 0.825 0.045
N5 0.535 0.175 0.955
N6 0.535 0.325 0.455
N7 0.733 0.509 0.400
N8 0.733 0.991 0.900
Cl1 0.010 0.247 0.247
Cl2 0.010 0.253 0.747
Cl3 0.303 0.021 0.576
Cl4 0.303 0.479 0.076
Cl5 0.697 0.521 0.924
Cl6 0.697 0.979 0.424
Cl7 0.990 0.747 0.253
Cl8 0.990 0.753 0.753

Arrangement b

An optimized crystal structure of Hg2CN2Cl2. Source: OQMD, functional PBE-GGA.

Crystal system: monoclinic
Symmetry: No. 12

abc: 5.324 5.324 6.650
angles: 93.45 93.45 42.13
Positions (direct):
Hg1 0.185 0.185 0.262
Hg2 0.815 0.815 0.738
C1 0.500 0.500 0.500
N1 0.386 0.386 0.564
N2 0.614 0.614 0.436
Cl1 0.131 0.131 0.862
Cl2 0.869 0.869 0.138

Which structure is most stable? arrangement a, by 8.6 kJ/mol of atoms over the runner-up.

Arrangement a

An optimized crystal structure of Ho4CI3Cl2. Source: OQMD, functional PBE-GGA.

Crystal system: monoclinic
Symmetry: No. 12

abc: 9.308 9.308 8.417
angles: 100.63 100.63 23.99
Positions (direct):
Ho1 0.001 0.001 0.310
Ho2 0.367 0.367 0.433
Ho3 0.633 0.633 0.567
Ho4 0.999 0.999 0.690
C1 0.500 0.500 0.500
I1 0.174 0.174 0.313
I2 0.500 0.500 0.000
I3 0.826 0.826 0.687
Cl1 0.150 0.150 0.799
Cl2 0.850 0.850 0.201

Arrangement b

An optimized crystal structure of Ho4CI3Cl2. Source: OQMD, functional PBE-GGA.

Crystal system: monoclinic
Symmetry: No. 12

abc: 8.984 8.984 8.520
angles: 102.21 102.21 24.93
Positions (direct):
Ho1 0.003 0.003 0.312
Ho2 0.361 0.361 0.437
Ho3 0.639 0.639 0.563
Ho4 0.997 0.997 0.688
C1 0.500 0.500 0.500
I1 0.173 0.173 0.840
I2 0.500 0.500 0.000
I3 0.827 0.827 0.160
Cl1 0.168 0.168 0.355
Cl2 0.832 0.832 0.645

Which structure is most stable? arrangement a, by 1.7 kJ/mol of atoms over the runner-up.

Arrangement a

An optimized crystal structure of Nd2Ho2CI3Cl2. Source: OQMD, functional PBE-GGA.

Crystal system: monoclinic
Symmetry: No. 12

abc: 9.513 9.513 8.457
angles: 101.17 101.17 23.78
Positions (direct):
Nd1 0.138 0.138 0.074
Nd2 0.862 0.862 0.926
Ho1 0.498 0.498 0.190
Ho2 0.502 0.502 0.810
C1 0.000 0.000 0.000
I1 0.000 0.000 0.500
I2 0.329 0.329 0.199
I3 0.671 0.671 0.801
Cl1 0.356 0.356 0.680
Cl2 0.644 0.644 0.320

Arrangement b

An optimized crystal structure of Nd2Ho2CI3Cl2. Source: OQMD, functional PBE-GGA.

Crystal system: monoclinic
Symmetry: No. 12

abc: 9.161 9.161 8.579
angles: 102.98 102.98 24.81
Positions (direct):
Nd1 0.144 0.144 0.071
Nd2 0.856 0.856 0.929
Ho1 0.497 0.497 0.188
Ho2 0.503 0.503 0.812
C1 0.000 0.000 0.000
I1 0.000 0.000 0.500
I2 0.332 0.332 0.641
I3 0.668 0.668 0.359
Cl1 0.337 0.337 0.161
Cl2 0.663 0.663 0.839

Which structure is most stable? arrangement a, by 2.2 kJ/mol of atoms over the runner-up.

Arrangement a

An optimized crystal structure of Nd2Ho2CI3Cl2. Source: OQMD, functional PBE-GGA.

Crystal system: monoclinic
Symmetry: No. 12

abc: 9.066 9.066 8.918
angles: 102.33 102.33 25.30
Positions (direct):
Nd1 0.004 0.004 0.307
Nd2 0.996 0.996 0.693
Ho1 0.362 0.362 0.435
Ho2 0.638 0.638 0.565
C1 0.500 0.500 0.500
I1 0.178 0.178 0.827
I2 0.500 0.500 0.000
I3 0.822 0.822 0.173
Cl1 0.173 0.173 0.377
Cl2 0.827 0.827 0.623

Arrangement b

An optimized crystal structure of Nd2Ho2CI3Cl2. Source: OQMD, functional PBE-GGA.

Crystal system: monoclinic
Symmetry: No. 12

abc: 9.469 9.469 8.805
angles: 100.25 100.25 24.15
Positions (direct):
Nd1 0.001 0.001 0.305
Nd2 0.999 0.999 0.695
Ho1 0.368 0.368 0.439
Ho2 0.632 0.632 0.561
C1 0.500 0.500 0.500
I1 0.177 0.177 0.325
I2 0.500 0.500 0.000
I3 0.823 0.823 0.675
Cl1 0.155 0.155 0.777
Cl2 0.845 0.845 0.223

Which structure is most stable? arrangement b, by 0.6 kJ/mol of atoms over the runner-up.